# 1
{
  "formula": "ZrAl2Si",
  "functional": "PBE-GGA",
  "state": "optimized geometry",
  "cell": [[4.7766, -0.1504, -0.4841], [-2.2666, 5.2304, 0.1945], [0.2434, 0.8807, 2.8347]],
  "species": ["Al", "Al", "Si", "Zr"],
  "frac_coords": [[0.0000, 0.0000, 0.0000], [0.5000, 0.0000, 0.5000], [0.0000, 0.5000, 0.5000], [0.5000, 0.5000, 0.0000]],
  "m_tot_mub_per_cell": 0.0
}


# 2
{
  "formula": "Zr3Al2Si",
  "functional": "PBE-GGA",
  "state": "optimized geometry",
  "cell": [[-5.3215, 0.2520, -1.8699], [4.2685, -0.3846, -3.6756], [-0.2922, -4.8916, 0.1725]],
  "species": ["Al", "Al", "Zr", "Zr", "Zr", "Si"],
  "frac_coords": [[0.6667, 0.3333, 0.0000], [0.3333, 0.6667, 0.0000], [0.0000, 0.5000, 0.5000], [0.5000, 0.0000, 0.5000], [0.5000, 0.5000, 0.5000], [0.0000, 0.0000, 0.0000]],
  "m_tot_mub_per_cell": 0.0,
  "polymorph_energy_ev_per_atom": 0.922
}


# 3
{
  "formula": "ZrAl2Si",
  "functional": "PBE-GGA",
  "state": "optimized geometry",
  "cell": [[-4.5487, -0.5641, 1.2992], [1.8836, -2.8054, -3.3583], [2.1188, -4.9067, 5.2874]],
  "species": ["Si", "Si", "Al", "Al", "Al", "Al", "Zr", "Zr"],
  "frac_coords": [[0.6667, 0.3333, 0.2500], [0.3333, 0.6667, 0.7500], [0.6667, 0.3333, 0.5822], [0.3333, 0.6667, 0.4178], [0.6667, 0.3333, 0.9178], [0.3333, 0.6667, 0.0822], [0.0000, 0.0000, 0.0000], [0.0000, 0.0000, 0.5000]],
  "m_tot_mub_per_cell": 0.0
}


# 4
{
  "formula": "ZrAl2Si5",
  "functional": "PBE-GGA",
  "state": "optimized geometry",
  "cell": [[1.4283, -1.1289, 8.4357], [4.7772, 2.8700, 6.5892], [-5.0386, 1.0187, -6.9318]],
  "species": ["Si", "Si", "Si", "Si", "Si", "Al", "Al", "Zr"],
  "frac_coords": [[0.3695, 0.8695, 0.5000], [0.1305, 0.6305, 0.5000], [0.8695, 0.3695, 0.5000], [0.6305, 0.1305, 0.5000], [0.5000, 0.5000, 0.0000], [0.7449, 0.7449, 0.0000], [0.2551, 0.2551, 0.0000], [0.0000, 0.0000, 0.0000]],
  "m_tot_mub_per_cell": 0.0,
  "polymorph_energy_ev_per_atom": 0.015
}


# 5
{
  "formula": "Zr2AlSi3",
  "functional": "PBE-GGA",
  "state": "optimized geometry",
  "cell": [[1.8265, -7.3235, 0.0000], [1.8265, 7.3235, 0.0000], [0.0000, 0.0000, 3.8894]],
  "species": ["Si", "Si", "Si", "Zr", "Zr", "Al"],
  "frac_coords": [[0.3069, 0.6931, 0.0000], [0.6931, 0.3069, 0.0000], [0.5000, 0.5000, 0.5000], [0.8519, 0.1481, 0.5000], [0.1481, 0.8519, 0.5000], [0.0000, 0.0000, 0.0000]],
  "m_tot_mub_per_cell": 0.0,
  "polymorph_energy_ev_per_atom": 0.000
}


# 6
{
  "formula": "ZrAl5Si",
  "functional": "PBE-GGA",
  "state": "optimized geometry",
  "cell": [[-1.7308, 0.3937, 3.4560], [-1.5363, -3.5498, -0.3651], [6.8614, -3.3623, 3.8192]],
  "species": ["Al", "Al", "Al", "Al", "Al", "Si", "Zr"],
  "frac_coords": [[0.0000, 0.5000, 0.7510], [0.5000, 0.0000, 0.7510], [0.5000, 0.5000, 0.0000], [0.0000, 0.5000, 0.2490], [0.5000, 0.0000, 0.2490], [0.0000, 0.0000, 0.0000], [0.0000, 0.0000, 0.5000]],
  "m_tot_mub_per_cell": 0.0,
  "polymorph_energy_ev_per_atom": 0.146
}


# 7
{
  "formula": "ZrAl2Si4",
  "functional": "PBE-GGA",
  "state": "optimized geometry",
  "cell": [[-3.1179, -1.3734, 1.6823], [0.9703, -1.1998, -3.4723], [5.8433, -7.9154, 4.3678]],
  "species": ["Zr", "Al", "Al", "Si", "Si", "Si", "Si"],
  "frac_coords": [[0.6667, 0.3333, 0.6702], [0.3333, 0.6667, 0.0619], [0.0000, 0.0000, 0.5069], [0.3333, 0.6667, 0.2903], [0.3333, 0.6667, 0.8192], [0.6667, 0.3333, 0.3827], [0.6667, 0.3333, 0.9369]],
  "m_tot_mub_per_cell": 0.0,
  "polymorph_energy_ev_per_atom": 0.146
}


# 8
{
  "formula": "ZrAl3Si3",
  "functional": "PBE-GGA",
  "state": "optimized geometry",
  "cell": [[3.6467, 0.0000, 0.0000], [0.0000, 8.1913, 0.0000], [0.0000, 0.0000, 7.9631]],
  "species": ["Al", "Al", "Al", "Al", "Al", "Al", "Si", "Si", "Si", "Si", "Si", "Si", "Zr", "Zr"],
  "frac_coords": [[0.2500, 0.9162, 0.5891], [0.2500, 0.2500, 0.1648], [0.7500, 0.0838, 0.4109], [0.7500, 0.4162, 0.4109], [0.2500, 0.5838, 0.5891], [0.7500, 0.7500, 0.8352], [0.7500, 0.4887, 0.1030], [0.2500, 0.5113, 0.8970], [0.7500, 0.7500, 0.4276], [0.2500, 0.2500, 0.5724], [0.2500, 0.9887, 0.8970], [0.7500, 0.0113, 0.1030], [0.2500, 0.7500, 0.1547], [0.7500, 0.2500, 0.8453]],
  "m_tot_mub_per_cell": 0.0,
  "polymorph_energy_ev_per_atom": 0.053
}


# 9
{
  "formula": "Zr3Al3Si2",
  "functional": "PBE-GGA",
  "state": "optimized geometry",
  "cell": [[7.9899, 0.0000, 0.0000], [-3.9950, 6.9195, 0.0000], [0.0000, 0.0000, 5.2891]],
  "species": ["Si", "Si", "Si", "Si", "Al", "Al", "Al", "Al", "Al", "Al", "Zr", "Zr", "Zr", "Zr", "Zr", "Zr"],
  "frac_coords": [[0.6667, 0.3333, 0.5000], [0.6667, 0.3333, 0.0000], [0.3333, 0.6667, 0.5000], [0.3333, 0.6667, 0.0000], [0.4146, 0.4146, 0.2500], [0.4146, 0.0000, 0.7500], [0.5854, 0.0000, 0.2500], [0.5854, 0.5854, 0.7500], [0.0000, 0.5854, 0.2500], [0.0000, 0.4146, 0.7500], [0.2337, 0.0000, 0.2500], [0.0000, 0.7663, 0.7500], [0.0000, 0.2337, 0.2500], [0.7663, 0.0000, 0.7500], [0.7663, 0.7663, 0.2500], [0.2337, 0.2337, 0.7500]],
  "m_tot_mub_per_cell": 0.0,
  "polymorph_energy_ev_per_atom": 0.539
}


# 10
{
  "formula": "ZrAl2Si",
  "functional": "PBE-GGA",
  "state": "optimized geometry",
  "cell": [[7.4816, 0.0000, 0.0000], [0.0000, 7.4816, 0.0000], [3.7408, 3.7408, 2.6809]],
  "species": ["Si", "Si", "Al", "Al", "Al", "Al", "Zr", "Zr"],
  "frac_coords": [[0.2500, 0.7500, 0.5000], [0.5000, 0.5000, 0.0000], [0.1718, 0.6250, 0.2500], [0.8750, 0.8282, 0.7500], [0.3750, 0.4218, 0.7500], [0.5782, 0.1250, 0.2500], [0.0000, 0.0000, 0.0000], [0.7500, 0.2500, 0.5000]],
  "m_tot_mub_per_cell": 0.0
}


# 11
{
  "formula": "Zr4Al2Si",
  "functional": "PBE-GGA",
  "state": "optimized geometry",
  "cell": [[4.1427, 0.0000, 0.0000], [0.0000, 5.8118, 0.0725], [0.0000, 2.0041, 11.8604]],
  "species": ["Zr", "Zr", "Zr", "Zr", "Zr", "Zr", "Zr", "Zr", "Si", "Si", "Al", "Al", "Al", "Al"],
  "frac_coords": [[0.7500, 0.8411, 0.0969], [0.7500, 0.9056, 0.3973], [0.2500, 0.4793, 0.3043], [0.7500, 0.5207, 0.6957], [0.2500, 0.1589, 0.9031], [0.2500, 0.0944, 0.6027], [0.7500, 0.2718, 0.1716], [0.2500, 0.7282, 0.8284], [0.7500, 0.0306, 0.7602], [0.2500, 0.9694, 0.2398], [0.7500, 0.4516, 0.9403], [0.2500, 0.5484, 0.0597], [0.2500, 0.6315, 0.5314], [0.7500, 0.3685, 0.4686]],
  "m_tot_mub_per_cell": 0.0,
  "polymorph_energy_ev_per_atom": 0.000
}


# 12
{
  "formula": "Zr4AlSi2",
  "functional": "PBE-GGA",
  "state": "optimized geometry",
  "cell": [[-0.7497, 3.9567, -0.8184], [-3.0838, -2.4942, 1.0835], [3.7748, 5.6077, 23.6534]],
  "species": ["Zr", "Zr", "Zr", "Zr", "Zr", "Zr", "Zr", "Zr", "Al", "Al", "Si", "Si", "Si", "Si"],
  "frac_coords": [[0.0000, 0.9999, 0.7946], [0.0001, 0.0002, 0.5472], [0.3334, 0.6668, 0.6950], [0.0000, 0.0001, 0.2946], [0.3332, 0.6665, 0.4713], [0.6668, 0.3335, 0.9713], [0.9999, 0.9998, 0.0472], [0.6666, 0.3332, 0.1950], [0.9999, 0.9999, 0.9094], [0.0001, 0.0001, 0.4094], [0.3333, 0.6666, 0.2453], [0.3333, 0.6666, 0.5878], [0.6667, 0.3334, 0.0878], [0.6667, 0.3334, 0.7453]],
  "m_tot_mub_per_cell": 1.5,
  "polymorph_energy_ev_per_atom": 0.788
}


Raw formation energy values (in eV/atom) by entry order: -0.2134; 0.4549; 0.2315; 0.0144; -0.5459; 0.0546; 0.0762; -0.1051; -0.1011; -0.0791; -0.3558; 0.2518.